[1]
# NbSbSeBr2 (PBE, relaxed)
# formation energy (no corrections)	0.339	eV/f.u.
# space-group type	P4/mmm, No. 123
# calculated total energy	-20.7	eV per formula unit
data_NbSbSeBr2
_chemical_formula_sum 'Nb1 Sb1 Se1 Br2'
_cell_length_a 5.282
_cell_length_b 5.282
_cell_length_c 5.137
_cell_angle_alpha 90.00
_cell_angle_beta 90.00
_cell_angle_gamma 90.00
_symmetry_space_group_name_H-M 'P 1'
_symmetry_Int_Tables_number 1
loop_
_symmetry_equiv_pos_as_xyz
'x,y,z'
loop_
_atom_site_label
_atom_site_type_symbol
_atom_site_fract_x
_atom_site_fract_y
_atom_site_fract_z
Nb1 Nb 0.000 0.000 0.000
Sb1 Sb 0.500 0.500 0.500
Se1 Se 0.000 0.000 0.500
Br1 Br 0.000 0.500 0.000
Br2 Br 0.500 0.000 0.000

[2]
# K3Ca2Cl7 (PBE, relaxed)
# formation energy (no corrections)	-25.419	eV/f.u.
# space-group type	Cmmm, No. 65
# calculated total energy	-45.6	eV per formula unit
data_K3Ca2Cl7
_chemical_formula_sum 'K3 Ca2 Cl7'
_cell_length_a 13.665
_cell_length_b 13.665
_cell_length_c 5.298
_cell_angle_alpha 90.00
_cell_angle_beta 90.00
_cell_angle_gamma 157.08
_symmetry_space_group_name_H-M 'P 1'
_symmetry_Int_Tables_number 1
loop_
_symmetry_equiv_pos_as_xyz
'x,y,z'
loop_
_atom_site_label
_atom_site_type_symbol
_atom_site_fract_x
_atom_site_fract_y
_atom_site_fract_z
K1 K 0.000 0.000 0.000
K2 K 0.181 0.819 0.000
K3 K 0.819 0.181 0.000
Ca1 Ca 0.397 0.603 0.500
Ca2 Ca 0.603 0.397 0.500
Cl1 Cl 0.098 0.902 0.500
Cl2 Cl 0.298 0.702 0.500
Cl3 Cl 0.400 0.600 0.000
Cl4 Cl 0.500 0.500 0.500
Cl5 Cl 0.600 0.400 0.000
Cl6 Cl 0.702 0.298 0.500
Cl7 Cl 0.902 0.098 0.500

[3]
# ErB4Rh8 (PBE, relaxed)
# space-group type	R-3m, No. 166
# calculated total energy	-91.6	eV per formula unit
# formation energy	-0.12	eV per atom
data_ErB4Rh8
_chemical_formula_sum 'Er1 B4 Rh8'
_cell_length_a 8.196
_cell_length_b 8.196
_cell_length_c 8.196
_cell_angle_alpha 39.48
_cell_angle_beta 39.48
_cell_angle_gamma 39.48
_symmetry_space_group_name_H-M 'P 1'
_symmetry_Int_Tables_number 1
loop_
_symmetry_equiv_pos_as_xyz
'x,y,z'
loop_
_atom_site_label
_atom_site_type_symbol
_atom_site_fract_x
_atom_site_fract_y
_atom_site_fract_z
Er1 Er 0.000 0.000 0.000
B1 B 0.000 0.000 0.500
B2 B 0.000 0.500 0.000
B3 B 0.500 0.000 0.000
B4 B 0.500 0.500 0.500
Rh1 Rh 0.231 0.729 0.729
Rh2 Rh 0.232 0.232 0.232
Rh3 Rh 0.271 0.271 0.769
Rh4 Rh 0.271 0.769 0.271
Rh5 Rh 0.729 0.231 0.729
Rh6 Rh 0.729 0.729 0.231
Rh7 Rh 0.768 0.768 0.768
Rh8 Rh 0.769 0.271 0.271

[4]
# GdScInRu (PBE, relaxed)
# space-group type	F-43m, No. 216
# calculated total energy	-33.7	eV per formula unit
# formation energy	-0.33	eV per atom
data_GdScInRu
_chemical_formula_sum 'Gd1 Sc1 In1 Ru1'
_cell_length_a 4.951
_cell_length_b 4.951
_cell_length_c 4.951
_cell_angle_alpha 60.00
_cell_angle_beta 60.00
_cell_angle_gamma 60.00
_symmetry_space_group_name_H-M 'P 1'
_symmetry_Int_Tables_number 1
loop_
_symmetry_equiv_pos_as_xyz
'x,y,z'
loop_
_atom_site_label
_atom_site_type_symbol
_atom_site_fract_x
_atom_site_fract_y
_atom_site_fract_z
Gd1 Gd 0.000 0.000 0.000
Sc1 Sc 0.500 0.500 0.500
In1 In 0.750 0.750 0.750
Ru1 Ru 0.250 0.250 0.250

[5]
# TiNbTe2 (PBE, relaxed)
# formation energy (no corrections)	0.751	eV/f.u.
# space-group type	I-42d, No. 122
# calculated total energy	-23.5	eV per formula unit
data_TiNbTe2
_chemical_formula_sum 'Ti2 Nb2 Te4'
_cell_length_a 7.835
_cell_length_b 7.835
_cell_length_c 7.835
_cell_angle_alpha 131.83
_cell_angle_beta 131.83
_cell_angle_gamma 70.51
_symmetry_space_group_name_H-M 'P 1'
_symmetry_Int_Tables_number 1
loop_
_symmetry_equiv_pos_as_xyz
'x,y,z'
loop_
_atom_site_label
_atom_site_type_symbol
_atom_site_fract_x
_atom_site_fract_y
_atom_site_fract_z
Ti1 Ti 0.000 0.000 0.000
Ti2 Ti 0.750 0.250 0.500
Nb1 Nb 0.250 0.750 0.500
Nb2 Nb 0.500 0.500 0.000
Te1 Te 0.120 0.625 0.995
Te2 Te 0.375 0.370 0.495
Te3 Te 0.630 0.125 0.005
Te4 Te 0.875 0.880 0.505

[6]
# ReIrAu (PBE, relaxed)
# space-group type	Imm2, No. 44
# calculated total energy	-23.9	eV per formula unit
# formation energy	0.24	eV per atom
data_ReIrAu
_chemical_formula_sum 'Re1 Ir1 Au1'
_cell_length_a 4.906
_cell_length_b 4.906
_cell_length_c 4.906
_cell_angle_alpha 146.69
_cell_angle_beta 133.16
_cell_angle_gamma 58.69
_symmetry_space_group_name_H-M 'P 1'
_symmetry_Int_Tables_number 1
loop_
_symmetry_equiv_pos_as_xyz
'x,y,z'
loop_
_atom_site_label
_atom_site_type_symbol
_atom_site_fract_x
_atom_site_fract_y
_atom_site_fract_z
Re1 Re 0.000 0.000 0.000
Ir1 Ir 0.360 0.360 0.000
Au1 Au 0.679 0.679 0.000

Question: The lowest calculated total energy belongs to which entry?
Answer: ErB4Rh8

What did the fourth record say?
# GdScInRu (PBE, relaxed)
# space-group type	F-43m, No. 216
# calculated total energy	-33.7	eV per formula unit
# formation energy	-0.33	eV per atom
data_GdScInRu
_chemical_formula_sum 'Gd1 Sc1 In1 Ru1'
_cell_length_a 4.951
_cell_length_b 4.951
_cell_length_c 4.951
_cell_angle_alpha 60.00
_cell_angle_beta 60.00
_cell_angle_gamma 60.00
_symmetry_space_group_name_H-M 'P 1'
_symmetry_Int_Tables_number 1
loop_
_symmetry_equiv_pos_as_xyz
'x,y,z'
loop_
_atom_site_label
_atom_site_type_symbol
_atom_site_fract_x
_atom_site_fract_y
_atom_site_fract_z
Gd1 Gd 0.000 0.000 0.000
Sc1 Sc 0.500 0.500 0.500
In1 In 0.750 0.750 0.750
Ru1 Ru 0.250 0.250 0.250

Question: calculated total energy of number 2 (K3Ca2Cl7)?
Answer: -45.6 eV per formula unit